Record 1
CaNb3Os: relaxed, PBE. Values from VASP.

Geometry as Quantum ESPRESSO input:
```
&SYSTEM
  ibrav = 0, nat = 5, ntyp = 3
/
ATOMIC_SPECIES
Ca 40.08 Ca.upf
Nb 92.91 Nb.upf
Os 190.23 Os.upf
CELL_PARAMETERS angstrom
4.596 0.000 0.000
0.000 4.596 0.000
0.000 0.000 4.596
ATOMIC_POSITIONS crystal
Ca 0.000 0.000 0.000
Nb 0.000 0.000 0.500
Nb 0.000 0.500 0.000
Nb 0.500 0.000 0.000
Os 0.500 0.500 0.500
```

Summary:
offset from the most stable computed form = 1.744 eV per atom
energy of formation = 2.531 eV per atom
symmetry = No. 221

Record 2
TbZnRhAu: relaxed, PBE. Values from VASP.

Geometry as Quantum ESPRESSO input:
```
&SYSTEM
  ibrav = 0, nat = 16, ntyp = 4
/
ATOMIC_SPECIES
Tb 158.93 Tb.upf
Zn 65.41 Zn.upf
Rh 102.91 Rh.upf
Au 196.97 Au.upf
CELL_PARAMETERS angstrom
6.677 0.000 0.000
0.000 6.677 0.000
0.000 0.000 6.677
ATOMIC_POSITIONS crystal
Tb 0.000 0.000 0.000
Tb 0.000 0.500 0.500
Tb 0.500 0.000 0.500
Tb 0.500 0.500 0.000
Zn 0.000 0.000 0.500
Zn 0.000 0.500 0.000
Zn 0.500 0.000 0.000
Zn 0.500 0.500 0.500
Rh 0.250 0.250 0.250
Rh 0.250 0.750 0.750
Rh 0.750 0.250 0.750
Rh 0.750 0.750 0.250
Au 0.250 0.250 0.750
Au 0.250 0.750 0.250
Au 0.750 0.250 0.250
Au 0.750 0.750 0.750
```

Summary:
energy of formation = -0.549 eV per atom
symmetry = No. 216

Record 3
Nd2SmIn2Ag2: relaxed, PBE. Values from VASP.

Geometry as Quantum ESPRESSO input:
```
&SYSTEM
  ibrav = 0, nat = 7, ntyp = 4
/
ATOMIC_SPECIES
Nd 144.24 Nd.upf
Sm 150.36 Sm.upf
In 114.82 In.upf
Ag 107.87 Ag.upf
CELL_PARAMETERS angstrom
2.453 1.416 9.119
-2.453 1.416 9.119
0.000 -2.833 9.119
ATOMIC_POSITIONS crystal
Nd 0.126 0.126 0.126
Nd 0.874 0.874 0.874
Sm 0.000 0.000 0.000
In 0.263 0.263 0.263
In 0.737 0.737 0.737
Ag 0.395 0.395 0.395
Ag 0.605 0.605 0.605
```

Summary:
energy of formation = -0.306 eV per atom
symmetry = No. 166

Record 4
LaTaMo2: relaxed, PBE. Values from VASP.

Geometry as Quantum ESPRESSO input:
```
&SYSTEM
  ibrav = 0, nat = 16, ntyp = 3
/
ATOMIC_SPECIES
La 138.91 La.upf
Ta 180.95 Ta.upf
Mo 95.94 Mo.upf
CELL_PARAMETERS angstrom
4.437 0.000 0.000
0.000 4.437 0.000
0.000 0.000 19.214
ATOMIC_POSITIONS crystal
La 0.000 0.000 0.000
La 0.000 0.500 0.250
La 0.500 0.000 0.750
La 0.500 0.500 0.500
Ta 0.000 0.000 0.500
Ta 0.000 0.500 0.750
Ta 0.500 0.000 0.250
Ta 0.500 0.500 0.000
Mo 0.142 0.250 0.625
Mo 0.250 0.642 0.875
Mo 0.250 0.858 0.375
Mo 0.358 0.250 0.125
Mo 0.642 0.750 0.125
Mo 0.750 0.142 0.375
Mo 0.750 0.358 0.875
Mo 0.858 0.750 0.625
```

Summary:
offset from the most stable computed form = 0.822 eV per atom
energy of formation = 1.111 eV per atom
symmetry = No. 122

Record 5
TbPmNd2Ho: relaxed, PBE. Values from VASP.

Geometry as Quantum ESPRESSO input:
```
&SYSTEM
  ibrav = 0, nat = 10, ntyp = 4
/
ATOMIC_SPECIES
Tb 158.93 Tb.upf
Pm 145.00 Pm.upf
Nd 144.24 Nd.upf
Ho 164.93 Ho.upf
CELL_PARAMETERS angstrom
8.243 0.000 0.000
0.000 6.748 0.000
-0.011 0.000 6.214
ATOMIC_POSITIONS crystal
Tb 0.000 0.078 0.250
Tb 0.000 0.922 0.750
Pm 0.000 0.500 0.000
Pm 0.000 0.500 0.500
Nd 0.305 0.193 0.750
Nd 0.305 0.807 0.250
Nd 0.695 0.193 0.750
Nd 0.695 0.807 0.250
Ho 0.500 0.343 0.250
Ho 0.500 0.657 0.750
```

Summary:
energy of formation = 0.266 eV per atom
symmetry = No. 13

Record 6
Fe2SiBr: relaxed, PBE. Values from VASP.

Geometry as Quantum ESPRESSO input:
```
&SYSTEM
  ibrav = 0, nat = 4, ntyp = 3
/
ATOMIC_SPECIES
Fe 55.84 Fe.upf
Si 28.09 Si.upf
Br 79.90 Br.upf
CELL_PARAMETERS angstrom
3.066 0.000 0.000
0.000 3.066 0.000
0.000 0.000 6.401
ATOMIC_POSITIONS crystal
Fe 0.000 0.000 0.181
Fe 0.000 0.000 0.819
Si 0.500 0.500 0.000
Br 0.500 0.500 0.500
```

Summary:
offset from the most stable computed form = 0.188 eV per atom
symmetry = No. 123

Record 7
PmAlP2Rh5: relaxed, PBE. Values from VASP.

Geometry as Quantum ESPRESSO input:
```
&SYSTEM
  ibrav = 0, nat = 9, ntyp = 4
/
ATOMIC_SPECIES
Pm 145.00 Pm.upf
Al 26.98 Al.upf
P 30.97 P.upf
Rh 102.91 Rh.upf
CELL_PARAMETERS angstrom
4.083 0.000 0.000
0.000 4.083 0.000
0.000 0.000 9.483
ATOMIC_POSITIONS crystal
Pm 0.000 0.000 0.000
Al 0.000 0.000 0.500
P 0.500 0.500 0.238
P 0.500 0.500 0.762
Rh 0.000 0.500 0.342
Rh 0.000 0.500 0.658
Rh 0.500 0.000 0.342
Rh 0.500 0.000 0.658
Rh 0.500 0.500 0.000
```

Summary:
energy of formation = -0.804 eV per atom
symmetry = No. 123

Record 8
Tm2ThIn9: relaxed, PBE. Values from VASP.

Geometry as Quantum ESPRESSO input:
```
&SYSTEM
  ibrav = 0, nat = 12, ntyp = 3
/
ATOMIC_SPECIES
Tm 168.93 Tm.upf
Th 232.04 Th.upf
In 114.82 In.upf
CELL_PARAMETERS angstrom
4.657 0.000 0.000
0.000 4.657 0.000
0.000 0.000 13.980
ATOMIC_POSITIONS crystal
Tm 0.000 0.000 0.163
Tm 0.000 0.000 0.837
Th 0.000 0.000 0.500
In 0.000 0.500 0.000
In 0.000 0.500 0.326
In 0.000 0.500 0.674
In 0.500 0.000 0.000
In 0.500 0.000 0.326
In 0.500 0.000 0.674
In 0.500 0.500 0.164
In 0.500 0.500 0.500
In 0.500 0.500 0.836
```

Summary:
energy of formation = -0.360 eV per atom
symmetry = No. 123

Record 9
Pm8HgTe4P3: relaxed, PBE. Values from VASP.

Geometry as Quantum ESPRESSO input:
```
&SYSTEM
  ibrav = 0, nat = 16, ntyp = 4
/
ATOMIC_SPECIES
Pm 145.00 Pm.upf
Hg 200.59 Hg.upf
Te 127.60 Te.upf
P 30.97 P.upf
CELL_PARAMETERS angstrom
4.299 2.482 7.206
-4.299 2.482 7.206
0.000 -4.964 7.206
ATOMIC_POSITIONS crystal
Pm 0.229 0.748 0.748
Pm 0.237 0.237 0.237
Pm 0.252 0.252 0.771
Pm 0.252 0.771 0.252
Pm 0.748 0.229 0.748
Pm 0.748 0.748 0.229
Pm 0.763 0.763 0.763
Pm 0.771 0.252 0.252
Hg 0.500 0.500 0.500
Te 0.000 0.000 0.000
Te 0.000 0.500 0.500
Te 0.500 0.000 0.500
Te 0.500 0.500 0.000
P 0.000 0.000 0.500
P 0.000 0.500 0.000
P 0.500 0.000 0.000
```

Summary:
VASP energy = -5.585 eV per atom
symmetry = No. 166

Record 10
Ce2BeF8: relaxed, PBE. Values from VASP.

Geometry as Quantum ESPRESSO input:
```
&SYSTEM
  ibrav = 0, nat = 11, ntyp = 3
/
ATOMIC_SPECIES
Ce 140.12 Ce.upf
Be 9.01 Be.upf
F 19.00 F.upf
CELL_PARAMETERS angstrom
4.699 -3.663 0.000
4.699 3.663 0.000
-1.448 0.000 4.431
ATOMIC_POSITIONS crystal
Ce 0.185 0.185 0.358
Ce 0.815 0.815 0.642
Be 0.500 0.500 0.000
F 0.087 0.087 0.797
F 0.182 0.551 0.733
F 0.394 0.394 0.197
F 0.449 0.818 0.267
F 0.551 0.182 0.733
F 0.606 0.606 0.803
F 0.818 0.449 0.267
F 0.913 0.913 0.203
```

Summary:
VASP energy = -6.464 eV per atom
symmetry = No. 12

Record 11
TlSi2Au: relaxed, PBE. Values from VASP.

Geometry as Quantum ESPRESSO input:
```
&SYSTEM
  ibrav = 0, nat = 4, ntyp = 3
/
ATOMIC_SPECIES
Tl 204.38 Tl.upf
Si 28.09 Si.upf
Au 196.97 Au.upf
CELL_PARAMETERS angstrom
3.241 0.000 0.000
0.000 3.241 0.000
0.000 0.000 7.723
ATOMIC_POSITIONS crystal
Tl 0.000 0.000 0.000
Si 0.000 0.000 0.500
Si 0.500 0.500 0.659
Au 0.500 0.500 0.303
```

Summary:
offset from the most stable computed form = 0.145 eV per atom
symmetry = No. 99

Record 12
Tl2Cd2InHg2: relaxed, PBE. Values from VASP.

Geometry as Quantum ESPRESSO input:
```
&SYSTEM
  ibrav = 0, nat = 7, ntyp = 4
/
ATOMIC_SPECIES
Tl 204.38 Tl.upf
Cd 112.41 Cd.upf
In 114.82 In.upf
Hg 200.59 Hg.upf
CELL_PARAMETERS angstrom
2.491 1.438 9.012
-2.491 1.438 9.012
0.000 -2.876 9.012
ATOMIC_POSITIONS crystal
Tl 0.135 0.135 0.135
Tl 0.865 0.865 0.865
Cd 0.413 0.413 0.413
Cd 0.587 0.587 0.587
In 0.000 0.000 0.000
Hg 0.282 0.282 0.282
Hg 0.718 0.718 0.718
```

Summary:
energy of formation = 0.032 eV per atom
symmetry = No. 166